a | Here is an optimized crystal structure of LiRuI2 from the Alexandria database. Energies are from PBE.

The space group is R-3m (No. 166, hexagonal axes) and the conventional cell measures 4.0385, 4.0385 and 25.9106 Å, with angles of 90.00, 90.00 and 120.00 degrees. The asymmetric unit holds Li at (0.0000, 0.0000, 0.0000), Ru at (0.0000, 0.0000, 0.5000) and I at (0.0000, 0.0000, 0.3990).

Its total magnetization is 0.751 μB per atom. Its crystal system is trigonal. For the density of states at the Fermi level, the calculation gives 13.822 states/eV/cell.


b | Here is an optimized crystal structure of LiRuI2 from the Alexandria database. Energies are from PBE.

The space group is I-42d (No. 122) and the conventional cell measures 6.136, 6.136 and 12.735 Å, with angles of 90.00, 90.00 and 90.00 degrees. The asymmetric unit holds Li at (0.000, 0.000, 0.000), Ru at (0.000, 0.000, 0.500) and I at (0.227, 0.250, 0.625).

Its total magnetization is 0.000 μB per atom. Its crystal system is tetragonal. For the density of states at the Fermi level, the calculation gives 10.755 states/eV/cell.


So which one is most stable? That would be b, about 19.4 kJ/mol of atoms below the next structure.


a | Here is an optimized crystal structure of LiS2I from the Alexandria database. Energies are from PBE.

The space group is Fm-3m (No. 225) and the conventional cell measures 6.932, 6.932 and 6.932 Å, with angles of 90.00, 90.00 and 90.00 degrees. The asymmetric unit holds Li at (0.000, 0.000, 0.000), S at (0.250, 0.250, 0.250) and I at (0.000, 0.000, 0.500).

Its total magnetization is 0.000 μB per atom. Its crystal system is cubic. For the density of states at the Fermi level, the calculation gives 17.814 states/eV/cell.


b | Here is an optimized crystal structure of LiS2I from the Alexandria database. Energies are from PBE.

The space group is R-3m (No. 166, hexagonal axes) and the conventional cell measures 3.9528, 3.9528 and 21.7685 Å, with angles of 90.00, 90.00 and 120.00 degrees. The asymmetric unit holds Li at (0.0000, 0.0000, 0.0000), S at (0.0000, 0.0000, 0.3840) and I at (0.0000, 0.0000, 0.5000).

Its total magnetization is 0.000 μB per atom. Its crystal system is trigonal. For the density of states at the Fermi level, the calculation gives 14.009 states/eV/cell.


So which one is most stable? That would be b, about 43.3 kJ/mol of atoms below the next structure.


a | Here is an optimized crystal structure of Li2SI from the Alexandria database. Energies are from PBE.

The space group is Fm-3m (No. 225) and the conventional cell measures 6.938, 6.938 and 6.938 Å, with angles of 90.00, 90.00 and 90.00 degrees. The asymmetric unit holds Li at (0.250, 0.250, 0.250), S at (0.000, 0.000, 0.000) and I at (0.000, 0.000, 0.500).

Its total magnetization is 0.000 μB per atom. Its crystal system is cubic. For the density of states at the Fermi level, the calculation gives 11.304 states/eV/cell.


b | Here is an optimized crystal structure of Li2SI from the Alexandria database. Energies are from PBE.

The space group is R-3m (No. 166, hexagonal axes) and the conventional cell measures 4.1491, 4.1491 and 23.4348 Å, with angles of 90.00, 90.00 and 120.00 degrees. The asymmetric unit holds Li at (0.0000, 0.0000, 0.0971), S at (0.0000, 0.0000, 0.0000) and I at (0.0000, 0.0000, 0.5000).

Its total magnetization is 0.250 μB per atom. Its crystal system is trigonal. For the density of states at the Fermi level, the calculation gives 2.684 states/eV/cell.


c | Here is an optimized crystal structure of Li2SI from the Alexandria database. Energies are from PBE.

The space group is I-42d (No. 122) and the conventional cell measures 6.509, 6.509 and 9.861 Å, with angles of 90.00, 90.00 and 90.00 degrees. The asymmetric unit holds Li at (0.203, 0.250, 0.125), S at (0.000, 0.000, 0.000) and I at (0.000, 0.000, 0.500).

Its total magnetization is 0.250 μB per atom. Its crystal system is tetragonal. For the density of states at the Fermi level, the calculation gives 9.882 states/eV/cell.


So which one is most stable? That would be c, about 9.9 kJ/mol of atoms below the next structure.


a | Here is an optimized crystal structure of Li3SI from the Alexandria database. Energies are from PBE.

The space group is C2/m (No. 12) and the conventional cell measures 12.894, 6.039 and 6.585 Å, with angles of 90.00, 110.38 and 90.00 degrees. The asymmetric unit holds Li at (0.050, 0.000, 0.212), Li at (0.233, 0.250, 0.786), S at (0.145, 0.000, 0.955) and I at (0.129, 0.500, 0.394).

Its total magnetization is 0.000 μB per atom. Its crystal system is monoclinic. For the density of states at the Fermi level, the calculation gives 0.000 states/eV/cell.


b | Here is an optimized crystal structure of Li3SI from the Alexandria database. Energies are from PBE.

The space group is Cmc2_1 (No. 36) and the conventional cell measures 4.015, 17.099 and 6.278 Å, with angles of 90.00, 90.00 and 90.00 degrees. The asymmetric unit holds Li at (0.000, 0.062, 0.000), Li at (0.000, 0.299, 0.396), Li at (0.000, 0.312, 0.856), S at (0.000, 0.197, 0.121) and I at (0.000, 0.437, 0.155).

Its total magnetization is 0.000 μB per atom. Its crystal system is orthorhombic. For the density of states at the Fermi level, the calculation gives 0.000 states/eV/cell.


c | Here is an optimized crystal structure of Li3SI from the Alexandria database. Energies are from PBE.

The space group is Pm-3m (No. 221) and the conventional cell measures 5.010, 5.010 and 5.010 Å, with angles of 90.00, 90.00 and 90.00 degrees. The asymmetric unit holds Li at (0.000, 0.000, 0.500), S at (0.500, 0.500, 0.500) and I at (0.000, 0.000, 0.000).

Its total magnetization is 0.000 μB per atom. Its crystal system is cubic. For the density of states at the Fermi level, the calculation gives 0.000 states/eV/cell.


So which one is most stable? That would be b, about 3.5 kJ/mol of atoms below the next structure.


a | Here is an optimized crystal structure of LiSbSI2 from the Alexandria database. Energies are from PBE.

The space group is P4/mmm (No. 123) and the conventional cell measures 5.862, 5.862 and 5.259 Å, with angles of 90.00, 90.00 and 90.00 degrees. The asymmetric unit holds Li at (0.000, 0.000, 0.000), Sb at (0.500, 0.500, 0.000), S at (0.500, 0.500, 0.500) and I at (0.000, 0.500, 0.500).

Its total magnetization is 0.323 μB per atom. Its crystal system is tetragonal. For the density of states at the Fermi level, the calculation gives 2.577 states/eV/cell.


b | Here is an optimized crystal structure of LiSbSI2 from the Alexandria database. Energies are from PBE.

The space group is P4/mmm (No. 123) and the conventional cell measures 5.032, 5.032 and 5.682 Å, with angles of 90.00, 90.00 and 90.00 degrees. The asymmetric unit holds Li at (0.000, 0.000, 0.000), Sb at (0.000, 0.000, 0.500), S at (0.500, 0.500, 0.500) and I at (0.000, 0.500, 0.000).

Its total magnetization is 0.105 μB per atom. Its crystal system is tetragonal. For the density of states at the Fermi level, the calculation gives 3.621 states/eV/cell.


So which one is most stable? That would be a, about 22.3 kJ/mol of atoms below the next structure.


a | Here is an optimized crystal structure of LiSbI4 from the Alexandria database. Energies are from PBE.

The space group is C2/m (No. 12) and the conventional cell measures 17.496, 4.312 and 7.527 Å, with angles of 90.00, 115.21 and 90.00 degrees. The asymmetric unit holds Li at (0.000, 0.000, 0.000), Sb at (0.000, 0.500, 0.500), I at (0.105, 0.500, 0.938) and I at (0.114, 0.000, 0.447).

Its total magnetization is 0.000 μB per atom. Its crystal system is monoclinic. For the density of states at the Fermi level, the calculation gives 0.000 states/eV/cell.


b | Here is an optimized crystal structure of LiSbI4 from the Alexandria database. Energies are from PBE.

The space group is I-4 (No. 82) and the conventional cell measures 6.897, 6.897 and 12.466 Å, with angles of 90.00, 90.00 and 90.00 degrees. The asymmetric unit holds Li at (0.000, 0.000, 0.000), Sb at (0.000, 0.500, 0.250) and I at (0.243, 0.243, 0.119).

Its total magnetization is 0.000 μB per atom. Its crystal system is tetragonal. For the density of states at the Fermi level, the calculation gives 0.000 states/eV/cell.


So which one is most stable? That would be a, about 8.3 kJ/mol of atoms below the next structure.